Entry 1:
Material: Na2Sm2O5
Method: DFT, GGA-PBE
State: relaxed

```
Na2Sm2O5
1.0
4.2868 0.0000 0.0000
0.0000 4.2868 0.0000
0.0000 0.0000 8.2579
Na Sm O
2 2 5
direct
0.0000 0.0000 0.0000
0.0000 0.0000 0.5000
0.5000 0.5000 0.2330
0.5000 0.5000 0.7670
0.0000 0.5000 0.1518
0.0000 0.5000 0.8482
0.5000 0.0000 0.1518
0.5000 0.0000 0.8482
0.5000 0.5000 0.5000
```

Results
Total moment   0.222 μB per atom
Total energy   -6.11 eV per atom



Entry 2:
Material: ZnCdSO
Method: DFT, GGA-PBE
State: relaxed

```
ZnCdSO
1.0
6.0238 0.0000 0.0000
0.0000 3.4437 0.0000
0.0000 0.0000 13.2857
Zn Cd S O
4 4 4 4
direct
0.1455 0.2500 0.0955
0.3545 0.7500 0.5955
0.6455 0.2500 0.4045
0.8545 0.7500 0.9045
0.1014 0.7500 0.3268
0.3986 0.2500 0.8268
0.6014 0.7500 0.1732
0.8986 0.2500 0.6732
0.2310 0.7500 0.9448
0.2690 0.2500 0.4448
0.7310 0.7500 0.5552
0.7690 0.2500 0.0552
0.2319 0.7500 0.1717
0.2681 0.2500 0.6717
0.7319 0.7500 0.3283
0.7681 0.2500 0.8283
```

Results
Total energy   -3.60 eV per atom



Entry 3:
Material: DyCoSi
Method: DFT, GGA-PBE
State: relaxed

```
DyCoSi
1.0
0.0000 3.1882 3.1882
3.1882 0.0000 3.1882
3.1882 3.1882 0.0000
Dy Co Si
1 1 1
direct
0.0000 0.0000 0.0000
0.7500 0.7500 0.7500
0.2500 0.2500 0.2500
```

Results
Total moment   0.365 μB per atom
Total energy   -5.15 eV per atom



Entry 4:
Material: PrOs
Method: DFT, GGA-PBE
State: relaxed

```
PrOs
1.0
0.0000 3.2132 3.2132
3.2132 0.0000 3.2132
3.2132 3.2132 0.0000
Pr Os
1 1
direct
0.0000 0.0000 0.0000
0.2500 0.2500 0.2500
```

Results
Energy of formation from the pure elements   3.2 eV per formula unit
Total moment   0.500 μB per atom



Entry 5:
Material: Lu4CoN3
Method: DFT, GGA-PBE
State: relaxed

```
Lu4CoN3
1.0
3.3327 0.0000 0.0000
-1.6663 2.8862 0.0000
0.0000 0.0000 24.0988
Lu Co N
8 2 6
direct
0.0000 0.0000 0.1692
0.0000 0.0000 0.3308
0.0000 0.0000 0.6692
0.0000 0.0000 0.8308
0.3333 0.6667 0.0561
0.3333 0.6667 0.4439
0.6667 0.3333 0.5561
0.6667 0.3333 0.9439
0.3333 0.6667 0.2500
0.6667 0.3333 0.7500
0.0000 0.0000 0.0000
0.0000 0.0000 0.5000
0.3333 0.6667 0.6151
0.3333 0.6667 0.8849
0.6667 0.3333 0.1151
0.6667 0.3333 0.3849
```

Results
Total moment   0.045 μB per atom
Total energy   -7.59 eV per atom



Entry 6:
Material: LuBeSnIr
Method: DFT, GGA-PBE
State: relaxed

```
LuBeSnIr
1.0
0.0000 3.2581 3.2581
3.2581 0.0000 3.2581
3.2581 3.2581 0.0000
Lu Be Sn Ir
1 1 1 1
direct
0.0000 0.0000 0.0000
0.7500 0.7500 0.7500
0.5000 0.5000 0.5000
0.2500 0.2500 0.2500
```

Results
Total moment   0.000 μB per atom
Total energy   -5.58 eV per atom



Entry 7:
Material: Sc3ZnTe
Method: DFT, GGA-PBE
State: relaxed

```
Sc3ZnTe
1.0
-3.5634 3.5634 5.3860
3.5634 -3.5634 5.3860
3.5634 3.5634 -5.3860
Sc Zn Te
6 2 2
direct
0.1503 0.6503 0.8006
0.2500 0.2500 0.0000
0.3497 0.1503 0.5000
0.6503 0.8497 0.5000
0.7500 0.7500 0.0000
0.8497 0.3497 0.1994
0.2500 0.7500 0.5000
0.7500 0.2500 0.5000
0.0000 0.0000 0.0000
0.5000 0.5000 0.0000
```

Results
Total moment   0.076 μB per atom
Total energy   -4.72 eV per atom



Entry 8:
Material: NbTcNiAs
Method: DFT, GGA-PBE
State: relaxed

```
NbTcNiAs
1.0
0.0000 3.0895 3.0895
3.0895 0.0000 3.0895
3.0895 3.0895 0.0000
Nb Tc Ni As
1 1 1 1
direct
0.0000 0.0000 0.0000
0.2500 0.2500 0.2500
0.7500 0.7500 0.7500
0.5000 0.5000 0.5000
```

Results
Total moment   0.259 μB per atom
Total energy   -7.66 eV per atom



Entry 9:
Material: Zr2BiO4
Method: DFT, GGA-PBE
State: relaxed

```
Zr2BiO4
1.0
0.0000 4.8005 4.8005
4.8005 0.0000 4.8005
4.8005 4.8005 0.0000
Zr Bi O
4 2 8
direct
0.0000 0.0000 0.0000
0.0000 0.0000 0.5000
0.0000 0.5000 0.0000
0.5000 0.0000 0.0000
0.3750 0.3750 0.3750
0.6250 0.6250 0.6250
0.1698 0.7767 0.7767
0.2233 0.2233 0.2233
0.2233 0.2233 0.8302
0.2233 0.8302 0.2233
0.7767 0.1698 0.7767
0.7767 0.7767 0.1698
0.7767 0.7767 0.7767
0.8302 0.2233 0.2233
```

Results
Total moment   0.000 μB per atom
Total energy   -8.02 eV per atom



Entry 10:
Material: NaCu3WS4
Method: DFT, GGA-PBE
State: relaxed

```
NaCu3WS4
1.0
5.6749 0.0000 0.0000
0.0000 5.6749 0.0000
0.0000 0.0000 5.6749
Na Cu W S
1 3 1 4
direct
0.0000 0.0000 0.0000
0.0000 0.5000 0.5000
0.5000 0.0000 0.5000
0.5000 0.5000 0.0000
0.5000 0.5000 0.5000
0.2659 0.2659 0.2659
0.2659 0.7341 0.7341
0.7341 0.2659 0.7341
0.7341 0.7341 0.2659
```

Results
Total moment   0.222 μB per atom
Total energy   -4.96 eV per atom



Entry 11:
Material: GdNpW
Method: DFT, GGA-PBE
State: relaxed

```
GdNpW
1.0
0.0000 3.3868 3.3868
3.3868 0.0000 3.3868
3.3868 3.3868 0.0000
Gd Np W
1 1 1
direct
0.0000 0.0000 0.0000
0.5000 0.5000 0.5000
0.7500 0.7500 0.7500
```

Results
Energy of formation from the pure elements   2.8 eV per formula unit
Total moment   1.070 μB per atom



Entry 12:
Material: NaSnPd2
Method: DFT, GGA-PBE
State: relaxed

```
NaSnPd2
1.0
0.0000 3.2735 3.2735
3.2735 0.0000 3.2735
3.2735 3.2735 0.0000
Na Sn Pd
1 1 2
direct
0.0000 0.0000 0.0000
0.5000 0.5000 0.5000
0.2500 0.2500 0.2500
0.7500 0.7500 0.7500
```

Results
Total energy   -4.33 eV per atom



Entry 13:
Material: HfZnNO
Method: DFT, GGA-PBE
State: relaxed

```
HfZnNO
1.0
3.4737 0.0000 0.0000
0.0000 5.4854 0.0000
0.0000 0.0000 5.9986
Hf Zn N O
2 2 2 2
direct
0.0000 0.1817 0.0000
0.0000 0.8183 0.5000
0.5000 0.2640 0.5156
0.5000 0.7360 0.0156
0.0000 0.1422 0.6610
0.0000 0.8578 0.1610
0.5000 0.3689 0.0551
0.5000 0.6311 0.5551
```

Results
Total moment   0.000 μB per atom
Total energy   -7.48 eV per atom



Entry 14:
Material: Cs2NaIrCl6
Method: DFT, GGA-PBE
State: relaxed

```
Cs2NaIrCl6
1.0
0.0000 5.1749 5.1749
5.1749 0.0000 5.1749
5.1749 5.1749 0.0000
Cs Na Ir Cl
2 1 1 6
direct
0.2500 0.2500 0.2500
0.7500 0.7500 0.7500
0.0000 0.0000 0.0000
0.5000 0.5000 0.5000
0.2705 0.2705 0.7295
0.2705 0.7295 0.2705
0.2705 0.7295 0.7295
0.7295 0.2705 0.2705
0.7295 0.2705 0.7295
0.7295 0.7295 0.2705
```

Results
Total moment   0.000 μB per atom
Total energy   -3.66 eV per atom



Entry 15:
Material: LaAlAsPd2
Method: DFT, GGA-PBE
State: relaxed

```
LaAlAsPd2
1.0
4.5517 0.0000 0.0000
0.0000 4.5517 0.0000
0.0000 0.0000 9.6291
La Al As Pd
2 2 2 4
direct
0.2500 0.2500 0.2385
0.7500 0.7500 0.7615
0.2500 0.2500 0.6158
0.7500 0.7500 0.3842
0.2500 0.7500 0.0000
0.7500 0.2500 0.0000
0.2500 0.2500 0.8755
0.2500 0.7500 0.5000
0.7500 0.2500 0.5000
0.7500 0.7500 0.1245
```

Results
Total moment   0.002 μB per atom
Total energy   -5.63 eV per atom



Entry 16:
Material: ZrRePd
Method: DFT, GGA-PBE
State: relaxed

```
ZrRePd
1.0
0.0000 3.1232 3.1232
3.1232 0.0000 3.1232
3.1232 3.1232 0.0000
Zr Re Pd
1 1 1
direct
0.0000 0.0000 0.0000
0.2500 0.2500 0.2500
0.7500 0.7500 0.7500
```

Results
Energy of formation from the pure elements   2.4 eV per formula unit
Total moment   0.126 μB per atom



Entry 17:
Material: RbCuWSe3
Method: DFT, GGA-PBE
State: relaxed

```
RbCuWSe3
1.0
1.9442 -7.6842 0.0000
1.9442 7.6842 0.0000
0.0000 0.0000 9.8918
Rb Cu W Se
2 2 2 6
direct
0.2464 0.7536 0.7500
0.7536 0.2464 0.2500
0.4695 0.5305 0.2500
0.5305 0.4695 0.7500
0.0000 0.0000 0.0000
0.0000 0.0000 0.5000
0.0653 0.9347 0.2500
0.3881 0.6119 0.0438
0.3881 0.6119 0.4562
0.6119 0.3881 0.5438
0.6119 0.3881 0.9562
0.9347 0.0653 0.7500
```

Results
Total moment   0.333 μB per atom
Total energy   -5.07 eV per atom



Entry 18:
Material: Sc3AgSe
Method: DFT, GGA-PBE
State: relaxed

```
Sc3AgSe
1.0
6.1121 -3.3921 0.0000
6.1121 3.3921 0.0000
-3.7592 0.0000 5.6473
Sc Ag Se
6 2 2
direct
0.1649 0.3387 0.1649
0.2455 0.7545 0.7500
0.3387 0.1649 0.6649
0.6613 0.8351 0.3351
0.7545 0.2455 0.2500
0.8351 0.6613 0.8351
0.2492 0.7508 0.2500
0.7508 0.2492 0.7500
0.0000 0.5000 0.5000
0.5000 0.0000 0.0000
```

Results
Total moment   0.001 μB per atom
Total energy   -5.57 eV per atom



Entry 19:
Material: ReHgPd2
Method: DFT, GGA-PBE
State: relaxed

```
ReHgPd2
1.0
0.0000 3.1974 3.1974
3.1974 0.0000 3.1974
3.1974 3.1974 0.0000
Re Hg Pd
1 1 2
direct
0.0000 0.0000 0.0000
0.2500 0.2500 0.2500
0.5000 0.5000 0.5000
0.7500 0.7500 0.7500
```

Results
Energy of formation from the pure elements   2.3 eV per formula unit
Total moment   0.164 μB per atom



Entry 20:
Material: ZrScInFe
Method: DFT, GGA-PBE
State: relaxed

```
ZrScInFe
1.0
0.0000 3.3049 3.3049
3.3049 0.0000 3.3049
3.3049 3.3049 0.0000
Zr Sc In Fe
1 1 1 1
direct
0.0000 0.0000 0.0000
0.2500 0.2500 0.2500
0.5000 0.5000 0.5000
0.7500 0.7500 0.7500
```

Results
Total moment   0.000 μB per atom
Total energy   -6.57 eV per atom



Entry 21:
Material: Y2Al3GaNi2
Method: DFT, GGA-PBE
State: relaxed

```
Y2Al3GaNi2
1.0
8.8015 -1.9843 0.0000
8.8015 1.9843 0.0000
-0.0248 0.0000 4.2541
Y Al Ga Ni
2 3 1 2
direct
0.0000 0.0000 0.0000
0.2270 0.2270 0.5068
0.4311 0.4311 0.4955
0.6487 0.6487 0.0043
0.7966 0.7966 0.0111
0.5764 0.5764 0.5030
0.3685 0.3685 0.9947
0.8596 0.8596 0.5118
```

Results
Total moment   0.000 μB per atom
Total energy   -5.34 eV per atom



Entry 22:
Material: ScBeTc
Method: DFT, GGA-PBE
State: relaxed

```
ScBeTc
1.0
0.0000 2.9408 2.9408
2.9408 0.0000 2.9408
2.9408 2.9408 0.0000
Sc Be Tc
1 1 1
direct
0.0000 0.0000 0.0000
0.5000 0.5000 0.5000
0.7500 0.7500 0.7500
```

Results
Total moment   0.002 μB per atom
Total energy   -6.21 eV per atom



Entry 23:
Material: YHoB2Ir2O2
Method: DFT, GGA-PBE
State: relaxed

```
YHoB2Ir2O2
1.0
3.8246 0.0000 0.0000
0.0000 3.8246 0.0000
0.0000 0.0000 7.2080
Y Ho B Ir O
1 1 2 2 2
direct
0.0000 0.0000 0.0000
0.5000 0.5000 0.3711
0.0000 0.0000 0.5295
0.5000 0.5000 0.8397
0.0000 0.5000 0.6838
0.5000 0.0000 0.6838
0.0000 0.0000 0.3182
0.5000 0.5000 0.0520
```

Results
Total moment   0.000 μB per atom
Total energy   -8.14 eV per atom



Entry 24:
Material: KNbCdSe3
Method: DFT, GGA-PBE
State: relaxed

```
KNbCdSe3
1.0
8.0157 0.0000 0.0000
0.0000 3.8097 0.0000
-3.3930 0.0000 10.5447
K Nb Cd Se
2 2 2 6
direct
0.0395 0.2500 0.3038
0.9605 0.7500 0.6962
0.4704 0.2500 0.0961
0.5296 0.7500 0.9039
0.4790 0.7500 0.3740
0.5210 0.2500 0.6260
0.2563 0.7500 0.1428
0.2821 0.7500 0.5454
0.2913 0.2500 0.8606
0.7087 0.7500 0.1394
0.7179 0.2500 0.4546
0.7437 0.2500 0.8572
```

Results
Total moment   0.003 μB per atom
Total energy   -4.55 eV per atom